# 1
A relaxed structure of Ti3Ga2H2, computed with GGA-PBE.

Cell and atoms, written as CIF:
```
data_Ti3Ga2H2
_symmetry_space_group_name_H-M 'P 1'
_symmetry_Int_Tables_number 1
_cell_length_a 5.312
_cell_length_b 7.354
_cell_length_c 5.287
_cell_angle_alpha 90.00
_cell_angle_beta 59.60
_cell_angle_gamma 90.00
loop_
_symmetry_equiv_pos_as_xyz
'x,y,z'
loop_
_atom_site_label
_atom_site_fract_x
_atom_site_fract_y
_atom_site_fract_z
_atom_site_occupancy
Ti1 0.358 0.886 0.264 1
Ga1 0.891 0.741 0.746 1
Ti2 0.142 0.386 0.736 1
Ti3 0.858 0.614 0.264 1
Ti4 0.000 0.000 0.000 1
H1 0.518 0.356 0.695 1
H2 0.982 0.856 0.305 1
Ga2 0.609 0.241 0.254 1
Ga3 0.391 0.759 0.746 1
Ga4 0.109 0.259 0.254 1
H3 0.018 0.144 0.695 1
Ti5 0.500 0.500 0.000 1
Ti6 0.642 0.114 0.736 1
H4 0.482 0.644 0.305 1
```

V: 178 Å³ per cell
DFT total energy: -77.2 eV for the cell shown
space-group type: P2_1/c (14)
spin magnetization: 0.0 μB per formula unit

# 2
A relaxed structure of Ti3GaH, computed with GGA-PBE.

Cell and atoms, written as CIF:
```
data_Ti3GaH
_symmetry_space_group_name_H-M 'P 1'
_symmetry_Int_Tables_number 1
_cell_length_a 14.549
_cell_length_b 7.289
_cell_length_c 7.289
_cell_angle_alpha 157.22
_cell_angle_beta 149.86
_cell_angle_gamma 30.14
loop_
_symmetry_equiv_pos_as_xyz
'x,y,z'
loop_
_atom_site_label
_atom_site_fract_x
_atom_site_fract_y
_atom_site_fract_z
_atom_site_occupancy
Ga1 0.694 0.085 0.915 1
Ti1 0.956 0.703 0.297 1
H1 0.726 0.833 0.167 1
Ti2 0.044 0.297 0.703 1
Ti3 0.426 0.467 0.533 1
Ga2 0.306 0.915 0.085 1
Ti4 0.181 0.838 0.162 1
Ti5 0.574 0.533 0.467 1
Ti6 0.819 0.162 0.838 1
H2 0.274 0.167 0.833 1
```

V: 141 Å³ per cell
DFT total energy: -61.7 eV for the cell shown
space-group type: C2/m (12)
spin magnetization: 0.0 μB per formula unit

# 3
A relaxed structure of Ti3GaH3, computed with GGA-PBE.

Cell and atoms, written as CIF:
```
data_Ti3GaH3
_symmetry_space_group_name_H-M 'P 1'
_symmetry_Int_Tables_number 1
_cell_length_a 5.246
_cell_length_b 5.246
_cell_length_c 7.316
_cell_angle_alpha 68.99
_cell_angle_beta 68.99
_cell_angle_gamma 60.00
loop_
_symmetry_equiv_pos_as_xyz
'x,y,z'
loop_
_atom_site_label
_atom_site_fract_x
_atom_site_fract_y
_atom_site_fract_z
_atom_site_occupancy
H1 0.137 0.474 0.590 1
H2 0.526 0.202 0.410 1
Ga1 0.666 0.666 0.001 1
H3 0.863 0.526 0.410 1
Ga2 0.334 0.334 0.999 1
H4 0.798 0.137 0.590 1
Ti1 0.571 0.901 0.300 1
Ti2 0.228 0.571 0.300 1
H5 0.202 0.863 0.410 1
Ti3 0.901 0.228 0.300 1
Ti4 0.429 0.099 0.700 1
H6 0.474 0.798 0.590 1
Ti5 0.099 0.772 0.700 1
Ti6 0.772 0.429 0.700 1
```

V: 159 Å³ per cell
relative energy among the computed polymorphs: 158 meV per atom
space-group type: R-3 (148)
spin magnetization: 0.0 μB per formula unit

# 4
A relaxed structure of Ti3GaH, computed with GGA-PBE.

Cell and atoms, written as CIF:
```
data_Ti3GaH
_symmetry_space_group_name_H-M 'P 1'
_symmetry_Int_Tables_number 1
_cell_length_a 3.114
_cell_length_b 4.707
_cell_length_c 4.707
_cell_angle_alpha 91.07
_cell_angle_beta 90.00
_cell_angle_gamma 90.00
loop_
_symmetry_equiv_pos_as_xyz
'x,y,z'
loop_
_atom_site_label
_atom_site_fract_x
_atom_site_fract_y
_atom_site_fract_z
_atom_site_occupancy
Ti1 0.000 0.889 0.111 1
H1 0.500 0.041 0.959 1
Ti2 0.500 0.408 0.109 1
Ga1 0.000 0.399 0.601 1
Ti3 0.500 0.891 0.592 1
```

V: 69 Å³ per cell
DFT total energy: -31.5 eV for the cell shown
space-group type: Amm2 (38)
spin magnetization: 0.0 μB per formula unit

# 5
A relaxed structure of Ti3GaH, computed with GGA-PBE.

Cell and atoms, written as CIF:
```
data_Ti3GaH
_symmetry_space_group_name_H-M 'P 1'
_symmetry_Int_Tables_number 1
_cell_length_a 4.919
_cell_length_b 4.919
_cell_length_c 4.919
_cell_angle_alpha 114.24
_cell_angle_beta 114.24
_cell_angle_gamma 114.24
loop_
_symmetry_equiv_pos_as_xyz
'x,y,z'
loop_
_atom_site_label
_atom_site_fract_x
_atom_site_fract_y
_atom_site_fract_z
_atom_site_occupancy
H1 0.909 0.909 0.909 1
Ti1 0.724 0.724 0.137 1
Ti2 0.724 0.137 0.724 1
Ti3 0.137 0.724 0.724 1
Ga1 0.383 0.383 0.383 1
```

V: 71 Å³ per cell
DFT total energy: -30.2 eV for the cell shown
space-group type: R3m (160)
spin magnetization: 0.0 μB per formula unit

# 6
A relaxed structure of Ti6Ga3H2, computed with GGA-PBE.

Cell and atoms, written as CIF:
```
data_Ti6Ga3H2
_symmetry_space_group_name_H-M 'P 1'
_symmetry_Int_Tables_number 1
_cell_length_a 3.852
_cell_length_b 3.852
_cell_length_c 11.147
_cell_angle_alpha 99.95
_cell_angle_beta 99.95
_cell_angle_gamma 90.00
loop_
_symmetry_equiv_pos_as_xyz
'x,y,z'
loop_
_atom_site_label
_atom_site_fract_x
_atom_site_fract_y
_atom_site_fract_z
_atom_site_occupancy
Ti1 0.916 0.416 0.832 1
Ti2 0.084 0.584 0.168 1
Ti3 0.584 0.084 0.168 1
H1 0.394 0.394 0.787 1
Ga1 0.824 0.824 0.649 1
Ti4 0.299 0.299 0.599 1
Ti5 0.701 0.701 0.401 1
Ti6 0.416 0.916 0.832 1
Ga2 0.000 0.000 0.000 1
H2 0.606 0.606 0.213 1
Ga3 0.176 0.176 0.351 1
```

V: 160 Å³ per cell
DFT total energy: -66.1 eV for the cell shown
space-group type: I4/mmm (139)
spin magnetization: 0.0 μB per formula unit